Record 1
Density functional theory data (PBE-GGA) for an optimized crystal structure of HoPuMnCo.

Properties
Total moment   0.51 μB per atom
Formation enthalpy at 0 K   0.14 eV per formula unit
Total DFT energy (no corrections)   -8.761 eV/atom

Cell: 6.6994 6.6994 6.6994 Å, 90.00 90.00 90.00°
Last column: nearest neighbours and their distance in Å.
Fractional positions:
Ho  0.0000  0.0000  0.0000  4 Mn 2.90, 4 Co 2.90
Ho  0.0000  0.5000  0.5000  4 Mn 2.90, 4 Co 2.90
Ho  0.5000  0.0000  0.5000  4 Mn 2.90, 4 Co 2.90
Ho  0.5000  0.5000  0.0000  4 Mn 2.90, 4 Co 2.90
Pu  0.0000  0.0000  0.5000  4 Mn 2.90, 4 Co 2.90
Pu  0.0000  0.5000  0.0000  4 Mn 2.90, 4 Co 2.90
Pu  0.5000  0.0000  0.0000  4 Mn 2.90, 4 Co 2.90
Pu  0.5000  0.5000  0.5000  4 Mn 2.90, 4 Co 2.90
Mn  0.2500  0.2500  0.7500  4 Ho 2.90, 4 Pu 2.90
Mn  0.2500  0.7500  0.2500  4 Ho 2.90, 4 Pu 2.90
Mn  0.7500  0.2500  0.2500  4 Ho 2.90, 4 Pu 2.90
Mn  0.7500  0.7500  0.7500  4 Ho 2.90, 4 Pu 2.90
Co  0.2500  0.2500  0.2500  4 Ho 2.90, 4 Pu 2.90
Co  0.2500  0.7500  0.7500  4 Ho 2.90, 4 Pu 2.90
Co  0.7500  0.2500  0.7500  4 Ho 2.90, 4 Pu 2.90
Co  0.7500  0.7500  0.2500  4 Ho 2.90, 4 Pu 2.90

Record 2
Density functional theory data (PBE-GGA) for an optimized crystal structure of HoMnCoSi3.

Properties
Total moment   0.05 μB per atom
Total DFT energy (no corrections)   -6.496 eV/atom
Formation energy without anion corrections   -0.3091 eV per atom

Cell: 6.4333 6.4333 5.8104 Å, 90.00 90.00 125.44°
Last column: nearest neighbours and their distance in Å.
Fractional positions:
Ho  0.2431  0.7569  0.7500  4 Si 2.94-3.01, 1 Mn 3.02
Ho  0.7569  0.2431  0.2500  4 Si 2.94-3.01, 1 Mn 3.02
Mn  0.0207  0.9793  0.2500  5 Si 2.12-2.28
Mn  0.9793  0.0207  0.7500  5 Si 2.12-2.28
Co  0.3897  0.6103  0.2500  5 Si 2.10-2.27
Co  0.6103  0.3897  0.7500  5 Si 2.10-2.27
Si  0.2060  0.7940  0.2500  1 Co 2.10, 1 Mn 2.12
Si  0.2957  0.2957  0.0000  2 Co 2.27, 2 Mn 2.28, 1 Si 2.41
Si  0.2957  0.2957  0.5000  2 Co 2.27, 2 Mn 2.28, 1 Si 2.41
Si  0.7043  0.7043  0.0000  2 Co 2.27, 2 Mn 2.28, 1 Si 2.41
Si  0.7043  0.7043  0.5000  2 Co 2.27, 2 Mn 2.28, 1 Si 2.41
Si  0.7940  0.2060  0.7500  1 Co 2.10, 1 Mn 2.12

Record 3
Density functional theory data (PBE-GGA) for an optimized crystal structure of TbHoMnCo.

Properties
Total moment   1.05 μB per atom
Formation enthalpy at 0 K   0.28 eV per formula unit
Total DFT energy (no corrections)   -6.301 eV/atom

Cell: 6.9027 6.9027 6.9027 Å, 90.00 90.00 90.00°
Last column: nearest neighbours and their distance in Å.
Fractional positions:
Tb  0.0000  0.0000  0.0000  4 Co 2.99, 4 Mn 2.99
Tb  0.0000  0.5000  0.5000  4 Co 2.99, 4 Mn 2.99
Tb  0.5000  0.0000  0.5000  4 Co 2.99, 4 Mn 2.99
Tb  0.5000  0.5000  0.0000  4 Co 2.99, 4 Mn 2.99
Ho  0.0000  0.0000  0.5000  4 Mn 2.99, 4 Co 2.99
Ho  0.0000  0.5000  0.0000  4 Mn 2.99, 4 Co 2.99
Ho  0.5000  0.0000  0.0000  4 Mn 2.99, 4 Co 2.99
Ho  0.5000  0.5000  0.5000  4 Mn 2.99, 4 Co 2.99
Mn  0.2500  0.2500  0.7500  4 Tb 2.99, 4 Ho 2.99
Mn  0.2500  0.7500  0.2500  4 Tb 2.99, 4 Ho 2.99
Mn  0.7500  0.2500  0.2500  4 Tb 2.99, 4 Ho 2.99
Mn  0.7500  0.7500  0.7500  4 Tb 2.99, 4 Ho 2.99
Co  0.2500  0.2500  0.2500  4 Ho 2.99, 4 Tb 2.99
Co  0.2500  0.7500  0.7500  4 Tb 2.99, 4 Ho 2.99
Co  0.7500  0.2500  0.7500  4 Tb 2.99, 4 Ho 2.99
Co  0.7500  0.7500  0.2500  4 Ho 2.99, 4 Tb 2.99

Record 4
Density functional theory data (PBE-GGA) for an optimized crystal structure of HoCoMo.

Properties
Total moment   0.00 μB per atom
Formation enthalpy at 0 K   1.31 eV per formula unit
Total DFT energy (no corrections)   -7.068 eV/atom

Cell: 6.2347 6.2347 6.5156 Å, 90.00 90.00 90.00°
Last column: nearest neighbours and their distance in Å.
Fractional positions:
Ho  0.2327  0.2327  0.0000  3 Co 2.69-2.96
Ho  0.2673  0.7327  0.2500  3 Co 2.69-2.96
Ho  0.7327  0.2673  0.7500  3 Co 2.69-2.96
Ho  0.7673  0.7673  0.5000  3 Co 2.69-2.96
Co  0.0683  0.9317  0.7500  3 Mo 2.29-2.32
Co  0.4317  0.4317  0.5000  3 Mo 2.29-2.32
Co  0.5683  0.5683  0.0000  3 Mo 2.29-2.32
Co  0.9317  0.0683  0.2500  3 Mo 2.29-2.32
Mo  0.1688  0.1688  0.5000  3 Co 2.29-2.32
Mo  0.3312  0.6688  0.7500  3 Co 2.29-2.32
Mo  0.6688  0.3312  0.2500  3 Co 2.29-2.32
Mo  0.8312  0.8312  0.0000  3 Co 2.29-2.32